1.
## SrCrAg2 (PBE)

Data for a geometry-optimized SrCrAg2 structure. Values from VASP.

## Properties
ΔE_f, meV/atom: 315
Energy, eV per cell: -15.75

```
&SYSTEM
  ibrav = 0, nat = 4, ntyp = 3
/
ATOMIC_SPECIES
Sr 87.62 Sr.upf
Cr 52.00 Cr.upf
Ag 107.87 Ag.upf
ATOMIC_POSITIONS crystal
Sr 0.0000 0.0000 0.0000
Cr 0.5000 0.5000 0.6760
Ag 0.0000 0.0000 0.5041
Ag 0.5000 0.5000 0.2847
CELL_PARAMETERS angstrom
3.6875 0.0000 0.0000
0.0000 3.6875 0.0000
0.0000 0.0000 6.9962
```

***

2.
## In2AgMo (PBE)

Data for a geometry-optimized In2AgMo structure. Values from VASP.

## Properties
ΔE_f, meV/atom: 608
Energy, eV per cell: -66.91

```
&SYSTEM
  ibrav = 0, nat = 16, ntyp = 3
/
ATOMIC_SPECIES
In 114.82 In.upf
Ag 107.87 Ag.upf
Mo 95.94 Mo.upf
ATOMIC_POSITIONS crystal
In 0.0000 0.0000 0.0000
In 0.0000 0.5000 0.5000
In 0.2500 0.2500 0.2500
In 0.2500 0.7500 0.7500
In 0.5000 0.0000 0.5000
In 0.5000 0.5000 0.0000
In 0.7500 0.2500 0.7500
In 0.7500 0.7500 0.2500
Ag 0.0000 0.0000 0.5000
Ag 0.0000 0.5000 0.0000
Ag 0.5000 0.0000 0.0000
Ag 0.5000 0.5000 0.5000
Mo 0.2500 0.2500 0.7500
Mo 0.2500 0.7500 0.2500
Mo 0.7500 0.2500 0.2500
Mo 0.7500 0.7500 0.7500
CELL_PARAMETERS angstrom
6.8741 0.0000 0.0000
0.0000 6.8741 0.0000
0.0000 0.0000 6.8741
```

***

3.
## CaErAlAu (PBE)

Data for a geometry-optimized CaErAlAu structure. Values from VASP.

## Properties
ΔE_f, meV/atom: -515
Energy, eV per cell: -62.57

```
&SYSTEM
  ibrav = 0, nat = 16, ntyp = 4
/
ATOMIC_SPECIES
Ca 40.08 Ca.upf
Er 167.26 Er.upf
Al 26.98 Al.upf
Au 196.97 Au.upf
ATOMIC_POSITIONS crystal
Ca 0.0000 0.0000 0.0000
Ca 0.0000 0.5000 0.5000
Ca 0.5000 0.0000 0.5000
Ca 0.5000 0.5000 0.0000
Er 0.0000 0.0000 0.5000
Er 0.0000 0.5000 0.0000
Er 0.5000 0.0000 0.0000
Er 0.5000 0.5000 0.5000
Al 0.2500 0.2500 0.7500
Al 0.2500 0.7500 0.2500
Al 0.7500 0.2500 0.2500
Al 0.7500 0.7500 0.7500
Au 0.2500 0.2500 0.2500
Au 0.2500 0.7500 0.7500
Au 0.7500 0.2500 0.7500
Au 0.7500 0.7500 0.2500
CELL_PARAMETERS angstrom
7.2448 0.0000 0.0000
0.0000 7.2448 0.0000
0.0000 0.0000 7.2448
```

***

4.
## Sm5Dy4Tm2 (PBE)

Data for a geometry-optimized Sm5Dy4Tm2 structure. Values from VASP.

## Properties
ΔE_f, meV/atom: 222
Energy, eV per cell: -48.50

```
&SYSTEM
  ibrav = 0, nat = 11, ntyp = 3
/
ATOMIC_SPECIES
Sm 150.36 Sm.upf
Dy 162.50 Dy.upf
Tm 168.93 Tm.upf
ATOMIC_POSITIONS crystal
Sm 0.0000 0.0000 0.0000
Sm 0.0541 0.3530 0.7011
Sm 0.3480 0.6470 0.7011
Sm 0.6520 0.3530 0.2989
Sm 0.9459 0.6470 0.2989
Dy 0.3102 0.5000 0.8102
Dy 0.4030 0.9030 0.5000
Dy 0.5970 0.0970 0.5000
Dy 0.6898 0.5000 0.1898
Tm 0.2696 0.7696 0.5000
Tm 0.7304 0.2304 0.5000
CELL_PARAMETERS angstrom
-1.7526 4.5408 11.6900
1.7526 -4.5408 11.6900
1.7526 4.5408 -11.6900
```

***

Q: Look up the energy of the third one.
A: -62.57 eV per cell

***

Q: Among the records above, which one has the highest ΔE_f?
A: In2AgMo

***

Q: What is the formula in the first record?
A: SrCrAg2

***

Q: energy of number 1 (SrCrAg2)?
A: -15.75 eV per cell